Entry 1:
Entry from OQMD via LeMat-Bulk: a relaxed Nd3Re2Sb3N12 crystal (PBE).

The calculation puts the total energy at -7.715 eV/atom. As for the volume: 1107.90 Å³ per cell. Its magnetic moment is 0.00 μB/atom. The calculation puts the mass density at 8.02 g/cm³.

POSCAR file:
```
Nd3Re2Sb3N12
1.0
10.1559 -1.3686 4.7389
-6.6271 5.9365 6.9507
-4.6519 -10.1075 -1.9159
N Sb Re Nd
48 12 8 12
Direct
0.3297 0.9110 0.0253
0.3045 0.3297 0.9187
0.0813 0.8858 0.4110
0.9110 0.0253 0.3297
0.5813 0.9110 0.3858
0.5890 0.9187 0.1142
0.8858 0.4110 0.0813
0.0890 0.9747 0.6703
0.4187 0.8297 0.8045
0.0890 0.6142 0.4187
0.6142 0.4187 0.0890
0.9747 0.8045 0.8858
0.0253 0.1955 0.1142
0.1142 0.5890 0.9187
0.5813 0.1703 0.1955
0.4747 0.3858 0.3045
0.6142 0.6955 0.5253
0.3297 0.9187 0.3045
0.6955 0.6703 0.0813
0.1703 0.1955 0.5813
0.6955 0.5253 0.6142
0.8045 0.8858 0.9747
0.8297 0.5253 0.4110
0.8045 0.4187 0.8297
0.9187 0.3045 0.3297
0.4747 0.5890 0.1703
0.6703 0.0890 0.9747
0.9110 0.3858 0.5813
0.0253 0.3297 0.9110
0.1142 0.0253 0.1955
0.0813 0.6955 0.6703
0.6703 0.0813 0.6955
0.9187 0.1142 0.5890
0.4110 0.0813 0.8858
0.8858 0.9747 0.8045
0.5253 0.6142 0.6955
0.4187 0.0890 0.6142
0.3045 0.4747 0.3858
0.5890 0.1703 0.4747
0.1703 0.4747 0.5890
0.1955 0.1142 0.0253
0.9747 0.6703 0.0890
0.8297 0.8045 0.4187
0.4110 0.8297 0.5253
0.3858 0.5813 0.9110
0.3858 0.3045 0.4747
0.5253 0.4110 0.8297
0.1955 0.5813 0.1703
0.1250 0.7500 0.8750
0.3750 0.2500 0.6250
0.7500 0.8750 0.1250
0.2500 0.6250 0.3750
0.6250 0.7500 0.3750
0.1250 0.8750 0.2500
0.8750 0.1250 0.7500
0.7500 0.3750 0.6250
0.3750 0.6250 0.7500
0.8750 0.2500 0.1250
0.2500 0.1250 0.8750
0.6250 0.3750 0.2500
0.5000 0.0000 0.5000
0.0000 0.0000 0.0000
0.0000 0.5000 0.0000
0.0000 0.0000 0.5000
0.5000 0.5000 0.0000
0.5000 0.5000 0.5000
0.0000 0.5000 0.5000
0.5000 0.0000 0.0000
0.8750 0.7500 0.6250
0.3750 0.7500 0.1250
0.8750 0.6250 0.2500
0.1250 0.3750 0.7500
0.6250 0.2500 0.8750
0.3750 0.1250 0.2500
0.2500 0.8750 0.6250
0.7500 0.1250 0.3750
0.7500 0.6250 0.8750
0.1250 0.2500 0.3750
0.2500 0.3750 0.1250
0.6250 0.8750 0.7500
```


Entry 2:
Entry from OQMD via LeMat-Bulk: a relaxed MgSiTeW crystal (PBE).

The value obtained for the distance to the lowest polymorph of the same formula is 0.0000 eV per atom. As for the volume: 71.83 Å³ per cell. Its magnetic moment is 0.04 μB/atom. The calculation puts the mass density at 8.41 g/cm³.

POSCAR file:
```
MgSiTeW
1.0
2.2991 3.4108 2.2027
-1.2564 1.2513 4.3159
2.7651 -1.0102 3.6201
Si W Te Mg
1 1 1 1
Direct
0.0000 0.0000 0.0000
0.2500 0.2500 0.2500
0.5000 0.5000 0.5000
0.7500 0.7500 0.7500
```


Entry 3:
Entry from OQMD via LeMat-Bulk: a relaxed BaNaAgWS4 crystal (PBE).

The calculation puts the total energy at -5.256 eV/atom. As for the volume: 202.32 Å³ per cell. Its magnetic moment is 0.22 μB/atom. The calculation puts the mass density at 4.76 g/cm³.

POSCAR file:
```
BaNaAgWS4
1.0
-5.8724 -2.3130 1.1815
0.1018 -5.8147 -2.7223
4.5421 2.0656 5.0983
S Na Ag W Ba
4 1 1 1 1
Direct
0.8381 0.5213 0.8790
0.5409 0.8577 0.5197
0.4787 0.1619 0.1210
0.1423 0.4591 0.4803
0.2506 0.7494 0.0000
0.7493 0.2507 0.0000
0.5000 0.5000 0.5000
0.0000 0.0000 0.5000
```


Entry 4:
Entry from OQMD via LeMat-Bulk: a relaxed Sr5Pr2Pb3N2 crystal (PBE).

The value obtained for the distance to the lowest polymorph of the same formula is 0.0078 eV per atom. As for the volume: 350.62 Å³ per cell. Its magnetic moment is 0.00 μB/atom. The calculation puts the mass density at 6.49 g/cm³.

POSCAR file:
```
Sr5Pr2Pb3N2
1.0
-9.8753 3.0831 -8.4741
6.2214 -1.2424 11.7724
1.9026 4.6913 -0.5104
Sr Pb Pr N
5 3 2 2
Direct
0.5000 0.5000 0.0000
0.8996 0.1004 0.0000
0.2998 0.7002 0.0000
0.7002 0.2998 0.0000
0.1004 0.8996 0.0000
0.8082 0.1918 0.5000
0.1918 0.8082 0.5000
0.0000 0.0000 0.5000
0.4014 0.5986 0.5000
0.5986 0.4014 0.5000
0.6006 0.3994 0.0000
0.3994 0.6006 0.0000
```


Entry 5:
Entry from OQMD via LeMat-Bulk: a relaxed Rb2PtBrF3 crystal (PBE).

The calculation puts the total energy at -4.008 eV/atom. As for the volume: 148.53 Å³ per cell. Its magnetic moment is 0.00 μB/atom. The calculation puts the mass density at 5.62 g/cm³.

POSCAR file:
```
Rb2PtBrF3
1.0
-0.2969 3.6423 1.0326
-5.6686 -1.2018 2.6096
4.1535 -0.9956 4.7058
Pt Br F Rb
1 1 3 2
Direct
0.0000 0.9925 0.9925
0.0000 0.6830 0.6830
0.0000 0.2568 0.2568
0.0000 0.2042 0.8054
0.0000 0.8054 0.2042
0.5000 0.0701 0.4881
0.5000 0.4881 0.0701
```


Entry 6:
Entry from OQMD via LeMat-Bulk: a relaxed GdTcB crystal (PBE).

The calculation puts the total energy at -6.995 eV/atom. As for the volume: 50.25 Å³ per cell. Its magnetic moment is 0.00 μB/atom. The calculation puts the mass density at 8.79 g/cm³.

POSCAR file:
```
GdTcB
1.0
0.0000 2.9288 2.9288
2.9288 0.0000 2.9288
2.9288 2.9288 0.0000
Gd B Tc
1 1 1
Direct
0.2500 0.2500 0.2500
0.0000 0.0000 0.0000
0.7500 0.7500 0.7500
```


Entry 7:
Entry from OQMD via LeMat-Bulk: a relaxed SrPuSc crystal (PBE).

The calculation puts the total energy at -6.495 eV/atom. As for the volume: 120.24 Å³ per cell. Its magnetic moment is 2.71 μB/atom. The calculation puts the mass density at 5.20 g/cm³.

POSCAR file:
```
SrPuSc
1.0
0.0000 3.9175 3.9175
3.9175 0.0000 3.9175
3.9175 3.9175 0.0000
Sc Pu Sr
1 1 1
Direct
0.0000 0.0000 0.0000
0.2500 0.2500 0.2500
0.7500 0.7500 0.7500
```


Entry 8:
Entry from OQMD via LeMat-Bulk: a relaxed Tb2DyGa3NiSn2 crystal (PBE).

The calculation puts the total energy at -4.674 eV/atom. As for the volume: 196.69 Å³ per cell. Its magnetic moment is 0.00 μB/atom. The calculation puts the mass density at 8.32 g/cm³.

POSCAR file:
```
Tb2DyGa3NiSn2
1.0
-2.6894 -1.9493 2.6974
0.2804 -6.0264 -4.0756
4.7652 0.9324 5.4250
Ga Tb Sn Ni Dy
3 2 2 1 1
Direct
0.5000 0.0000 0.2197
0.5000 0.2197 0.0000
0.5000 0.7809 0.7809
0.0000 0.6208 0.9998
0.0000 0.9998 0.6208
0.5000 0.3338 0.6658
0.5000 0.6658 0.3338
0.0000 0.0012 0.0012
0.0000 0.3779 0.3779
```


Entry 9:
Entry from OQMD via LeMat-Bulk: a relaxed Rb2NiI4 crystal (PBE).

The calculation puts the total energy at -2.827 eV/atom. As for the volume: 614.80 Å³ per cell. Its magnetic moment is 0.29 μB/atom. The calculation puts the mass density at 3.98 g/cm³.

POSCAR file:
```
Rb2NiI4
1.0
-4.1752 -1.5675 6.1368
-0.9825 -7.5934 -2.6081
10.3574 -1.9811 1.8664
I Ni Rb
8 2 4
Direct
0.3491 0.7500 0.0502
0.9901 0.5032 0.7276
0.6509 0.2500 0.9498
0.0099 0.4968 0.2724
0.3984 0.7500 0.6307
0.0099 0.0032 0.2724
0.9901 0.9968 0.7276
0.6016 0.2500 0.3693
0.2192 0.7500 0.7933
0.7808 0.2500 0.2067
0.2899 0.2500 0.5833
0.7983 0.7500 0.9585
0.2017 0.2500 0.0415
0.7101 0.7500 0.4167
```


Entry 10:
Entry from OQMD via LeMat-Bulk: a relaxed Ba2InSn3Pt2 crystal (PBE).

The calculation puts the total energy at -4.550 eV/atom. As for the volume: 218.00 Å³ per cell. Its magnetic moment is 0.00 μB/atom. The calculation puts the mass density at 8.65 g/cm³.

POSCAR file:
```
Ba2InSn3Pt2
1.0
6.1627 -2.2636 0.0000
6.1627 2.2636 0.0000
-0.0718 0.0000 7.8137
Sn Pt In Ba
3 2 1 2
Direct
0.6601 0.6601 0.5539
0.3414 0.3414 0.4466
0.3370 0.3370 0.0519
0.2172 0.2172 0.7438
0.7850 0.7850 0.2534
0.6589 0.6589 0.9471
0.0582 0.0582 0.2509
0.9422 0.9422 0.7523
```


Entry 11:
Entry from OQMD via LeMat-Bulk: a relaxed Co2SbP crystal (PBE).

The value obtained for the distance to the lowest polymorph of the same formula is 0.1057 eV per atom. As for the volume: 114.23 Å³ per cell. Its magnetic moment is 0.00 μB/atom. The calculation puts the mass density at 7.87 g/cm³.

POSCAR file:
```
Co2SbP
1.0
3.4495 0.0000 0.0000
0.0000 6.2287 0.0000
0.0000 0.0000 5.3166
P Co Sb
2 4 2
Direct
0.0000 0.1250 0.2770
0.0000 0.8750 0.7770
0.5000 0.9663 0.4989
0.5000 0.0337 0.9989
0.0000 0.3967 0.0357
0.0000 0.6033 0.5357
0.5000 0.6576 0.1884
0.5000 0.3424 0.6884
```


Entry 12:
Entry from OQMD via LeMat-Bulk: a relaxed AgPPdO crystal (PBE).

The value obtained for the distance to the lowest polymorph of the same formula is 0.0137 eV per atom. As for the volume: 129.50 Å³ per cell. The calculation puts the mass density at 6.70 g/cm³.

POSCAR file:
```
AgPPdO
1.0
-1.3017 -3.9862 -0.5855
2.8118 -0.4582 -3.1322
4.9230 -2.3063 4.7569
Ag Pd O P
2 2 2 2
Direct
0.0000 0.0000 0.0702
0.5000 0.5000 0.9298
0.0000 0.5000 0.5000
0.5000 0.0000 0.5000
0.5000 0.0000 0.0000
0.0000 0.5000 0.0000
0.0000 0.0000 0.6556
0.5000 0.5000 0.3444
```


Q: Which of these has the lowest mass density?
A: Rb2NiI4